i) Crystalline NbFeSbPd at its relaxed geometry. Source: the Open Quantum Materials Database, functional GGA-PBE.

Structure (CIF):
```
data_NbFeSbPd
_space_group_name_H-M_alt 'F -4 3 m'
_space_group_IT_number 216
_space_group_name_Hall 'F -4 2 3'
_cell_length_a 6.4396
_cell_length_b 6.4396
_cell_length_c 6.4396
_cell_angle_alpha 90.00
_cell_angle_beta 90.00
_cell_angle_gamma 90.00
loop_
_atom_site_label
_atom_site_type_symbol
_atom_site_fract_x
_atom_site_fract_y
_atom_site_fract_z
Nb1 Nb 0.0000 0.0000 0.0000
Fe1 Fe 0.0000 0.0000 0.5000
Sb1 Sb 0.2500 0.2500 0.2500
Pd1 Pd 0.2500 0.2500 0.7500
```

ii) Crystalline NbFeSbPd at its relaxed geometry. Source: the Open Quantum Materials Database, functional GGA-PBE.

Structure (CIF):
```
data_NbFeSbPd
_space_group_name_H-M_alt 'F -4 3 m'
_space_group_IT_number 216
_space_group_name_Hall 'F -4 2 3'
_cell_length_a 6.4070
_cell_length_b 6.4070
_cell_length_c 6.4070
_cell_angle_alpha 90.00
_cell_angle_beta 90.00
_cell_angle_gamma 90.00
loop_
_atom_site_label
_atom_site_type_symbol
_atom_site_fract_x
_atom_site_fract_y
_atom_site_fract_z
Nb1 Nb 0.0000 0.0000 0.0000
Fe1 Fe 0.2500 0.2500 0.7500
Sb1 Sb 0.0000 0.0000 0.5000
Pd1 Pd 0.2500 0.2500 0.2500
```

The energy of each structure relative to the most stable one, in meV per atom, is as follows: i) 17; ii) 0.

i) Crystalline NbFeSiPd at its relaxed geometry. Source: the Open Quantum Materials Database, functional GGA-PBE.

Structure (CIF):
```
data_NbFeSiPd
_space_group_name_H-M_alt 'F -4 3 m'
_space_group_IT_number 216
_space_group_name_Hall 'F -4 2 3'
_cell_length_a 6.1214
_cell_length_b 6.1214
_cell_length_c 6.1214
_cell_angle_alpha 90.00
_cell_angle_beta 90.00
_cell_angle_gamma 90.00
loop_
_atom_site_label
_atom_site_type_symbol
_atom_site_fract_x
_atom_site_fract_y
_atom_site_fract_z
Nb1 Nb 0.0000 0.0000 0.0000
Fe1 Fe 0.2500 0.2500 0.7500
Si1 Si 0.0000 0.0000 0.5000
Pd1 Pd 0.2500 0.2500 0.2500
```

ii) Crystalline NbFeSiPd at its relaxed geometry. Source: the Open Quantum Materials Database, functional GGA-PBE.

Structure (CIF):
```
data_NbFeSiPd
_space_group_name_H-M_alt 'F -4 3 m'
_space_group_IT_number 216
_space_group_name_Hall 'F -4 2 3'
_cell_length_a 6.1539
_cell_length_b 6.1539
_cell_length_c 6.1539
_cell_angle_alpha 90.00
_cell_angle_beta 90.00
_cell_angle_gamma 90.00
loop_
_atom_site_label
_atom_site_type_symbol
_atom_site_fract_x
_atom_site_fract_y
_atom_site_fract_z
Nb1 Nb 0.0000 0.0000 0.0000
Fe1 Fe 0.0000 0.0000 0.5000
Si1 Si 0.2500 0.2500 0.2500
Pd1 Pd 0.2500 0.2500 0.7500
```

The energy of each structure relative to the most stable one, in meV per atom, is as follows: i) 0; ii) 25.

i) Crystalline NbFeSnPd at its relaxed geometry. Source: the Open Quantum Materials Database, functional GGA-PBE.

Structure (CIF):
```
data_NbFeSnPd
_space_group_name_H-M_alt 'F -4 3 m'
_space_group_IT_number 216
_space_group_name_Hall 'F -4 2 3'
_cell_length_a 6.4583
_cell_length_b 6.4583
_cell_length_c 6.4583
_cell_angle_alpha 90.00
_cell_angle_beta 90.00
_cell_angle_gamma 90.00
loop_
_atom_site_label
_atom_site_type_symbol
_atom_site_fract_x
_atom_site_fract_y
_atom_site_fract_z
Nb1 Nb 0.0000 0.0000 0.0000
Fe1 Fe 0.0000 0.0000 0.5000
Sn1 Sn 0.2500 0.2500 0.2500
Pd1 Pd 0.2500 0.2500 0.7500
```

ii) Crystalline NbFeSnPd at its relaxed geometry. Source: the Open Quantum Materials Database, functional GGA-PBE.

Structure (CIF):
```
data_NbFeSnPd
_space_group_name_H-M_alt 'F -4 3 m'
_space_group_IT_number 216
_space_group_name_Hall 'F -4 2 3'
_cell_length_a 6.4005
_cell_length_b 6.4005
_cell_length_c 6.4005
_cell_angle_alpha 90.00
_cell_angle_beta 90.00
_cell_angle_gamma 90.00
loop_
_atom_site_label
_atom_site_type_symbol
_atom_site_fract_x
_atom_site_fract_y
_atom_site_fract_z
Nb1 Nb 0.0000 0.0000 0.0000
Fe1 Fe 0.2500 0.2500 0.7500
Sn1 Sn 0.0000 0.0000 0.5000
Pd1 Pd 0.2500 0.2500 0.2500
```

The energy of each structure relative to the most stable one, in meV per atom, is as follows: i) 155; ii) 0.

i) Crystalline NbTlFePd at its relaxed geometry. Source: the Open Quantum Materials Database, functional GGA-PBE.

Structure (CIF):
```
data_NbTlFePd
_space_group_name_H-M_alt 'F -4 3 m'
_space_group_IT_number 216
_space_group_name_Hall 'F -4 2 3'
_cell_length_a 6.4508
_cell_length_b 6.4508
_cell_length_c 6.4508
_cell_angle_alpha 90.00
_cell_angle_beta 90.00
_cell_angle_gamma 90.00
loop_
_atom_site_label
_atom_site_type_symbol
_atom_site_fract_x
_atom_site_fract_y
_atom_site_fract_z
Nb1 Nb 0.0000 0.0000 0.0000
Tl1 Tl 0.0000 0.0000 0.5000
Fe1 Fe 0.2500 0.2500 0.7500
Pd1 Pd 0.2500 0.2500 0.2500
```

ii) Crystalline NbTlFePd at its relaxed geometry. Source: the Open Quantum Materials Database, functional GGA-PBE.

Structure (CIF):
```
data_NbTlFePd
_space_group_name_H-M_alt 'F -4 3 m'
_space_group_IT_number 216
_space_group_name_Hall 'F -4 2 3'
_cell_length_a 6.5078
_cell_length_b 6.5078
_cell_length_c 6.5078
_cell_angle_alpha 90.00
_cell_angle_beta 90.00
_cell_angle_gamma 90.00
loop_
_atom_site_label
_atom_site_type_symbol
_atom_site_fract_x
_atom_site_fract_y
_atom_site_fract_z
Nb1 Nb 0.0000 0.0000 0.0000
Tl1 Tl 0.2500 0.2500 0.2500
Fe1 Fe 0.0000 0.0000 0.5000
Pd1 Pd 0.2500 0.2500 0.7500
```

The energy of each structure relative to the most stable one, in meV per atom, is as follows: i) 0; ii) 168.

i) Crystalline NbZnFePd at its relaxed geometry. Source: the Open Quantum Materials Database, functional GGA-PBE.

Structure (CIF):
```
data_NbZnFePd
_space_group_name_H-M_alt 'F -4 3 m'
_space_group_IT_number 216
_space_group_name_Hall 'F -4 2 3'
_cell_length_a 6.1533
_cell_length_b 6.1533
_cell_length_c 6.1533
_cell_angle_alpha 90.00
_cell_angle_beta 90.00
_cell_angle_gamma 90.00
loop_
_atom_site_label
_atom_site_type_symbol
_atom_site_fract_x
_atom_site_fract_y
_atom_site_fract_z
Nb1 Nb 0.0000 0.0000 0.0000
Zn1 Zn 0.0000 0.0000 0.5000
Fe1 Fe 0.2500 0.2500 0.7500
Pd1 Pd 0.2500 0.2500 0.2500
```

ii) Crystalline NbZnFePd at its relaxed geometry. Source: the Open Quantum Materials Database, functional GGA-PBE.

Structure (CIF):
```
data_NbZnFePd
_space_group_name_H-M_alt 'F -4 3 m'
_space_group_IT_number 216
_space_group_name_Hall 'F -4 2 3'
_cell_length_a 6.2447
_cell_length_b 6.2447
_cell_length_c 6.2447
_cell_angle_alpha 90.00
_cell_angle_beta 90.00
_cell_angle_gamma 90.00
loop_
_atom_site_label
_atom_site_type_symbol
_atom_site_fract_x
_atom_site_fract_y
_atom_site_fract_z
Nb1 Nb 0.0000 0.0000 0.0000
Zn1 Zn 0.2500 0.2500 0.2500
Fe1 Fe 0.0000 0.0000 0.5000
Pd1 Pd 0.2500 0.2500 0.7500
```

The energy of each structure relative to the most stable one, in meV per atom, is as follows: i) 0; ii) 170.

i) Crystalline RbNbFe at its relaxed geometry. Source: the Open Quantum Materials Database, functional GGA-PBE.

Structure (CIF):
```
data_RbNbFe
_space_group_name_H-M_alt 'F -4 3 m'
_space_group_IT_number 216
_space_group_name_Hall 'F -4 2 3'
_cell_length_a 6.6507
_cell_length_b 6.6507
_cell_length_c 6.6507
_cell_angle_alpha 90.00
_cell_angle_beta 90.00
_cell_angle_gamma 90.00
loop_
_atom_site_label
_atom_site_type_symbol
_atom_site_fract_x
_atom_site_fract_y
_atom_site_fract_z
Rb1 Rb 0.0000 0.0000 0.0000
Nb1 Nb 0.0000 0.0000 0.5000
Fe1 Fe 0.2500 0.2500 0.7500
```

ii) Crystalline RbNbFe at its relaxed geometry. Source: the Open Quantum Materials Database, functional GGA-PBE.

Structure (CIF):
```
data_RbNbFe
_space_group_name_H-M_alt 'F -4 3 m'
_space_group_IT_number 216
_space_group_name_Hall 'F -4 2 3'
_cell_length_a 6.3088
_cell_length_b 6.3088
_cell_length_c 6.3088
_cell_angle_alpha 90.00
_cell_angle_beta 90.00
_cell_angle_gamma 90.00
loop_
_atom_site_label
_atom_site_type_symbol
_atom_site_fract_x
_atom_site_fract_y
_atom_site_fract_z
Rb1 Rb 0.0000 0.0000 0.0000
Nb1 Nb 0.2500 0.2500 0.2500
Fe1 Fe 0.2500 0.2500 0.7500
```

The energy of each structure relative to the most stable one, in meV per atom, is as follows: i) 0; ii) 994.